First-principles (PBE-GGA) data for crystalline CeGe2Mo at its relaxed geometry, as listed in the Alexandria database.

Summary:
E_form	-287	meV per atom
ρ	8.403	Mg/m³
energy above the lowest structure with this stoichiometry	0	meV per atom

a b c (Å): 3.3422 3.3422 6.7459
angles (deg): 90.00 90.00 90.00
Each line ends with the local moment (μB).
Positions (direct):
Ge (0.0000, 0.0000, 0.1997)  -0.01
Ge (0.0000, 0.0000, 0.8003)  -0.01
Ce (0.5000, 0.5000, 0.5000)  0.65
Mo (0.5000, 0.5000, 0.0000)  -0.02